This record from Alexandria via LeMat-Bulk describes an optimized crystal structure of CrRe. The functional is PBE-GGA.

Structure (POSCAR):
```
CrRe
1.0
6.662 0.000 0.000
0.000 6.662 0.000
0.000 0.000 6.662
Cr Re
6 6
direct
0.250 0.500 0.000
0.750 0.500 0.000
0.500 0.000 0.250
0.500 0.000 0.750
0.000 0.250 0.500
0.000 0.750 0.500
0.250 0.000 0.500
0.750 0.000 0.500
0.000 0.500 0.250
0.000 0.500 0.750
0.500 0.250 0.000
0.500 0.750 0.000
```

Computed properties:
For the total energy, the calculation gives -106.87 eV for the cell shown. Its symmetry is Pm-3n (223). Its formation energy is 2.130 eV/atom.

=====

This record from Alexandria via LeMat-Bulk describes an optimized crystal structure of CrRe. The functional is PBE-GGA.

Structure (POSCAR):
```
CrRe
1.0
2.947 0.000 0.000
1.474 4.692 -0.002
0.000 2.056 5.807
Cr Re
3 3
direct
0.980 0.040 0.923
0.639 0.723 0.778
0.298 0.405 0.633
0.965 0.070 0.461
0.639 0.722 0.278
0.313 0.374 0.094
```

Computed properties:
For the total energy, the calculation gives -65.86 eV for the cell shown. Its symmetry is C2/m (12). Its formation energy is 0.058 eV/atom.

=====

This record from Alexandria via LeMat-Bulk describes an optimized crystal structure of CrRe. The functional is PBE-GGA.

Structure (POSCAR):
```
CrRe
1.0
-2.803 -1.155 1.733
0.308 -2.656 2.247
-0.290 0.574 3.432
Cr Re
1 1
direct
0.000 0.000 0.000
0.500 0.500 0.500
```

Computed properties:
For the total energy, the calculation gives -19.79 eV for the cell shown. Its symmetry is Fm-3m (225). Its formation energy is 1.138 eV/atom.

=====

This record from Alexandria via LeMat-Bulk describes an optimized crystal structure of CrRe2. The functional is PBE-GGA.

Structure (POSCAR):
```
CrRe2
1.0
-1.484 -1.977 1.564
4.241 0.867 2.383
-0.977 4.397 4.630
Cr Re
2 4
direct
0.351 0.703 0.756
0.704 0.409 0.633
0.011 0.022 0.928
0.045 0.089 0.461
0.364 0.729 0.293
0.691 0.382 0.096
```

Computed properties:
For the total energy, the calculation gives -68.58 eV for the cell shown. Its symmetry is C2/m (12). Its formation energy is 0.076 eV/atom.

=====

This record from Alexandria via LeMat-Bulk describes an optimized crystal structure of Cr13Re3. The functional is PBE-GGA.

Structure (POSCAR):
```
Cr13Re3
1.0
5.838 -0.003 0.000
-0.024 5.838 0.000
0.000 0.000 5.834
Cr Re
13 3
direct
0.498 0.997 0.253
0.497 0.503 0.254
0.003 0.502 0.253
0.743 0.745 0.000
0.255 0.257 0.000
0.256 0.744 0.000
0.498 0.997 0.747
0.497 0.503 0.746
0.003 0.502 0.747
0.744 0.256 0.500
0.744 0.744 0.500
0.256 0.256 0.500
0.257 0.743 0.500
0.004 0.996 0.253
0.743 0.257 0.000
0.004 0.996 0.747
```

Computed properties:
For the total energy, the calculation gives -162.34 eV for the cell shown. Its symmetry is Amm2 (38). Its formation energy is 0.007 eV/atom.

=====

This record from Alexandria via LeMat-Bulk describes an optimized crystal structure of CrRe. The functional is PBE-GGA.

Structure (POSCAR):
```
CrRe
1.0
-2.113 -1.342 -0.792
1.337 0.250 -3.991
1.695 -4.665 0.276
Re Cr
2 2
direct
0.759 0.500 0.759
0.491 0.000 0.491
0.017 0.000 0.009
0.233 0.500 0.241
```

Computed properties:
For the total energy, the calculation gives -43.78 eV for the cell shown. Its symmetry is P2_1/m (11). Its formation energy is 0.090 eV/atom.

=====

This record from Alexandria via LeMat-Bulk describes an optimized crystal structure of CrRe. The functional is PBE-GGA.

Structure (POSCAR):
```
CrRe
1.0
-2.387 -0.928 -3.354
0.166 -4.093 1.014
-4.977 0.633 3.367
Cr Re
4 4
direct
0.000 0.500 0.273
0.500 0.000 0.727
0.000 0.000 0.500
0.500 0.500 0.500
0.000 0.000 0.000
0.500 0.500 0.000
0.000 0.500 0.735
0.500 0.000 0.265
```

Computed properties:
For the total energy, the calculation gives -87.78 eV for the cell shown. Its symmetry is P4/nmm (129). Its formation energy is 0.063 eV/atom.

=====

This record from Alexandria via LeMat-Bulk describes an optimized crystal structure of Cr7Re8. The functional is PBE-GGA.

Structure (POSCAR):
```
Cr7Re8
1.0
-7.372 -4.427 -3.688
-0.057 -5.933 7.235
-2.926 2.907 2.361
Cr Re
14 16
direct
0.000 0.000 0.000
0.500 0.500 0.500
0.415 0.585 0.000
0.585 0.415 0.000
0.915 0.915 0.500
0.085 0.085 0.500
0.316 0.316 0.247
0.684 0.684 0.247
0.184 0.816 0.747
0.816 0.184 0.747
0.184 0.816 0.253
0.816 0.184 0.253
0.316 0.316 0.753
0.684 0.684 0.753
0.138 0.533 0.000
0.862 0.467 0.000
0.967 0.638 0.500
0.033 0.362 0.500
0.362 0.033 0.500
0.638 0.967 0.500
0.533 0.138 0.000
0.467 0.862 0.000
0.061 0.253 0.000
0.939 0.747 0.000
0.247 0.561 0.500
0.753 0.439 0.500
0.439 0.753 0.500
0.561 0.247 0.500
0.253 0.061 0.000
0.747 0.939 0.000
```

Computed properties:
For the energy above the lowest structure with this stoichiometry, the calculation gives 1.058 kcal/mol of atoms. For the total energy, the calculation gives -331.56 eV for the cell shown. Its symmetry is P4_2/mnm (136). Its formation energy is 0.078 eV/atom.

=====

This record from Alexandria via LeMat-Bulk describes an optimized crystal structure of Cr2Re. The functional is PBE-GGA.

Structure (POSCAR):
```
Cr2Re
1.0
4.752 0.000 0.000
2.376 4.115 0.000
2.376 1.372 3.880
Cr Re
4 2
direct
0.500 0.000 0.500
0.500 0.000 0.000
0.000 0.000 0.500
0.500 0.500 0.500
0.875 0.375 0.875
0.125 0.625 0.125
```

Computed properties:
For the total energy, the calculation gives -63.35 eV for the cell shown. Its symmetry is Fd-3m (227). Its formation energy is 0.007 eV/atom.

=====

This record from Alexandria via LeMat-Bulk describes an optimized crystal structure of Cr5Re. The functional is PBE-GGA.

Structure (POSCAR):
```
Cr5Re
1.0
-4.471 0.159 1.542
-1.870 4.110 1.415
-3.332 2.109 -2.617
Cr Re
5 1
direct
0.625 0.625 0.125
0.250 0.250 0.250
0.625 0.625 0.625
0.125 0.625 0.625
0.625 0.125 0.625
0.000 0.000 0.000
```

Computed properties:
For the energy above the lowest structure with this stoichiometry, the calculation gives 2.776 kcal/mol of atoms. For the total energy, the calculation gives -59.86 eV for the cell shown. Its symmetry is F-43m (216). Its formation energy is 0.118 eV/atom.

=====

This record from Alexandria via LeMat-Bulk describes an optimized crystal structure of CrRe4. The functional is PBE-GGA.

Structure (POSCAR):
```
CrRe4
1.0
-4.201 -0.101 8.401
-8.393 -0.359 -4.201
0.195 -4.997 0.037
Cr Re
6 24
direct
0.000 0.000 0.000
0.500 0.500 0.500
0.416 0.584 0.000
0.584 0.416 0.000
0.916 0.916 0.500
0.084 0.084 0.500
0.140 0.534 0.000
0.860 0.466 0.000
0.966 0.640 0.500
0.034 0.360 0.500
0.360 0.034 0.500
0.640 0.966 0.500
0.534 0.140 0.000
0.466 0.860 0.000
0.063 0.255 0.000
0.937 0.745 0.000
0.245 0.563 0.500
0.755 0.437 0.500
0.437 0.755 0.500
0.563 0.245 0.500
0.255 0.063 0.000
0.745 0.937 0.000
0.318 0.318 0.249
0.682 0.682 0.249
0.182 0.818 0.749
0.818 0.182 0.749
0.182 0.818 0.251
0.818 0.182 0.251
0.318 0.318 0.751
0.682 0.682 0.751
```

Computed properties:
For the energy above the lowest structure with this stoichiometry, the calculation gives 0.000 kcal/mol of atoms. For the total energy, the calculation gives -354.09 eV for the cell shown. Its symmetry is P4_2/mnm (136). Its formation energy is 0.080 eV/atom.

=====

This record from Alexandria via LeMat-Bulk describes an optimized crystal structure of Cr7Re. The functional is PBE-GGA.

Structure (POSCAR):
```
Cr7Re
1.0
5.782 0.003 -0.015
0.015 5.782 -0.015
-0.003 -0.003 5.782
Cr Re
14 2
direct
0.621 0.621 0.379
0.622 0.129 0.378
0.129 0.622 0.378
0.128 0.128 0.377
0.872 0.377 0.128
0.377 0.872 0.128
0.378 0.378 0.129
0.622 0.622 0.871
0.623 0.128 0.872
0.128 0.623 0.872
0.872 0.872 0.623
0.871 0.378 0.622
0.378 0.871 0.622
0.379 0.379 0.621
0.871 0.871 0.129
0.129 0.129 0.871
```

Computed properties:
For the energy above the lowest structure with this stoichiometry, the calculation gives 0.000 kcal/mol of atoms. For the total energy, the calculation gives -159.53 eV for the cell shown. Its symmetry is R-3m (166). Its formation energy is 0.006 eV/atom.